Computed, not measured: a relaxed structure of Cs2HOsBr6 at the GGA-PBE level of DFT.

## Properties
E_tot in eV per atom: -3.2488
Magnetization in Bohr magnetons per cell: 3.00

Cell lengths 7.7608, 7.7608, 7.7696 Å; angles 60.04, 60.04, 90.00 degrees
Last column: nearest neighbours and their distance in Å.
Fractional positions:
Cs: 0.7500 0.2500 0.5000  12 Br 3.89
Cs: 0.2500 0.7500 0.5000  12 Br 3.89
H: 0.5000 0.5000 0.0000  6 Br 2.97-2.98
Os: 0.0000 0.0000 0.0000  6 Br 2.52
Br: 0.2288 0.2288 0.5424  1 Os 2.52
Br: 0.7712 0.7712 0.4576  1 Os 2.52
Br: 0.2293 0.2293 0.0000  1 Os 2.52
Br: 0.7707 0.7707 0.0000  1 Os 2.52
Br: 0.7707 0.2293 0.0000  1 Os 2.52
Br: 0.2293 0.7707 0.0000  1 Os 2.52

***

Computed, not measured: a relaxed structure of CsH2OsBr8 at the GGA-PBE level of DFT.

## Properties
E_tot in eV per atom: -3.1314
Magnetization in Bohr magnetons per cell: 2.95

Cell lengths 6.9278, 7.0273, 10.2403 Å; angles 115.52, 100.00, 63.52 degrees
Last column: nearest neighbours and their distance in Å.
Fractional positions:
Cs: 0.0000 0.0000 0.5000  8 Br 3.78-4.06, 2 H 3.85
H: 0.3191 0.5337 0.6530  1 Br 1.50
H: 0.6809 0.4663 0.3470  1 Br 1.50
Os: 0.0000 0.0000 0.0000  6 Br 2.45-2.52
Br: 0.2750 0.8213 0.1523  1 Os 2.48
Br: 0.9531 0.6380 0.8686  1 Os 2.45
Br: 0.7039 0.1395 0.1754  1 H 2.16
Br: 0.7250 0.1787 0.8477  1 Os 2.48
Br: 0.0469 0.3620 0.1314  1 Os 2.45
Br: 0.2961 0.8605 0.8246  1 H 2.16
Br: 0.6540 0.6755 0.4841  1 H 1.50
Br: 0.3460 0.3245 0.5159  1 H 1.50

***

Computed, not measured: a relaxed structure of Cs2HPbBr6 at the GGA-PBE level of DFT.

## Properties
E_tot in eV per atom: -2.7056
Magnetization in Bohr magnetons per cell: 0.00

Cell lengths 7.3995, 7.3995, 8.1968 Å; angles 63.17, 63.17, 90.00 degrees
Last column: nearest neighbours and their distance in Å.
Fractional positions:
Pb: 0.0000 0.0000 0.0000  6 Br 2.87-2.88
Cs: 0.7500 0.2500 0.5000  12 Br 3.71-4.11
Cs: 0.2500 0.7500 0.5000  12 Br 3.71-4.11
Br: 0.2279 0.2279 0.5443  1 Pb 2.88
Br: 0.7721 0.7721 0.4557  1 Pb 2.88
Br: 0.2740 0.2740 0.0000  1 H 2.36
Br: 0.7260 0.7260 0.0000  1 H 2.36
Br: 0.7260 0.2740 0.0000  1 H 2.36
Br: 0.2740 0.7260 0.0000  1 H 2.36
H: 0.5000 0.5000 0.0000  4 Br 2.36

***

Computed, not measured: a relaxed structure of CsHPbBr2 at the GGA-PBE level of DFT.

## Properties
E_tot in eV per atom: -3.0930
Magnetization in Bohr magnetons per cell: 0.00

Cell lengths 6.0937, 6.0937, 4.5896 Å; angles 90.00, 90.00, 90.00 degrees
Last column: nearest neighbours and their distance in Å.
Fractional positions:
Pb: 0.0000 0.0000 0.0000  2 H 2.29
Cs: 0.5000 0.5000 0.5000  8 Br 3.81
Br: 0.0000 0.5000 0.0000  2 Pb 3.05
Br: 0.5000 0.0000 0.0000  2 Pb 3.05
H: 0.0000 0.0000 0.5000  2 Pb 2.29

***

Computed, not measured: a relaxed structure of CsHPdBr6 at the GGA-PBE level of DFT.

## Properties
E_tot in eV per atom: -2.7308
Magnetization in Bohr magnetons per cell: 0.00

Cell lengths 7.9283, 8.0265, 7.2639 Å; angles 63.09, 77.64, 48.86 degrees
Last column: nearest neighbours and their distance in Å.
Fractional positions:
Cs: 0.8335 0.2778 0.0000  10 Br 3.71-4.07, 2 H 4.01
H: 0.8331 0.7780 0.4998  2 Br 1.72
Pd: 0.3333 0.2778 0.5000  6 Br 2.52-2.54
Br: 0.9922 0.3389 0.4294  1 Pd 2.54
Br: 0.4172 0.9573 0.8614  1 Pd 2.52
Br: 0.6745 0.2165 0.5708  1 Pd 2.54
Br: 0.0921 0.6040 0.6333  1 H 1.72
Br: 0.2495 0.5983 0.1385  1 Pd 2.52
Br: 0.5745 0.9514 0.3667  1 H 1.72

***

Computed, not measured: a relaxed structure of CsHPd2Br at the GGA-PBE level of DFT.

## Properties
E_tot in eV per atom: -2.2876
Magnetization in Bohr magnetons per cell: 0.00

Cell lengths 5.4621, 4.2443, 5.4621 Å; angles 90.00, 90.00, 90.00 degrees
Last column: nearest neighbours and their distance in Å.
Fractional positions:
Cs: 0.0000 0.0000 0.0000  2 H 2.12
H: 0.0000 0.5000 0.0000  2 Cs 2.12
Br: 0.5000 0.5000 0.5000  8 Pd 3.46, 4 H 3.86
Pd: 0.0000 0.0000 0.5000  2 Cs 2.73
Pd: 0.5000 0.0000 0.0000  2 Cs 2.73

***

Computed, not measured: a relaxed structure of Cs2HPdBr at the GGA-PBE level of DFT.

## Properties
E_tot in eV per atom: -3.0834
Magnetization in Bohr magnetons per cell: 0.00

Cell lengths 6.4514, 6.4514, 3.7103 Å; angles 90.00, 90.00, 90.00 degrees
Last column: nearest neighbours and their distance in Å.
Fractional positions:
Cs: 0.0000 0.5000 0.0000  2 H 3.23
Cs: 0.5000 0.0000 0.0000  2 H 3.23
H: 0.0000 0.0000 0.0000  2 Pd 1.86
Br: 0.5000 0.5000 0.5000  2 Br 3.71, 8 Cs 3.72
Pd: 0.0000 0.0000 0.5000  2 H 1.86

***

Computed, not measured: a relaxed structure of Cs2HPdBr6 at the GGA-PBE level of DFT.

## Properties
E_tot in eV per atom: -2.7229
Magnetization in Bohr magnetons per cell: 0.00

Cell lengths 7.1667, 7.1667, 7.8124 Å; angles 62.70, 62.70, 90.00 degrees
Last column: nearest neighbours and their distance in Å.
Fractional positions:
Cs: 0.7500 0.2500 0.5000  12 Br 3.62-3.91
Cs: 0.2500 0.7500 0.5000  12 Br 3.62-3.91
H: 0.5000 0.5000 0.0000  4 Br 2.44
Br: 0.2096 0.2096 0.5808  1 Pd 2.49
Br: 0.7904 0.7904 0.4192  1 Pd 2.49
Br: 0.2595 0.2595 0.0000  1 H 2.44, 1 Pd 2.63
Br: 0.7405 0.7405 0.0000  1 H 2.44, 1 Pd 2.63
Br: 0.7405 0.2595 0.0000  1 H 2.44, 1 Pd 2.63
Br: 0.2595 0.7405 0.0000  1 H 2.44, 1 Pd 2.63
Pd: 0.0000 0.0000 0.0000  6 Br 2.49-2.63